# 1
This record from Alexandria describes Pm2Ho3Cd3 after structural relaxation. The functional is PBE.

For the volume, the calculation gives 224.8 Å³/f.u. The calculated formation energy is -0.23 eV/atom. Its density of states at the Fermi level is 8.14 states/eV/f.u. The calculation puts the energy at -3.474 eV per atom. The value obtained for the total magnetization is 0.000 μB per atom.

The structure belongs to space group Immm (No. 71); the cell edges are 3.769, 5.329 and 22.387 Å and the angles 90.00°, 90.00° and 90.00°. The inequivalent atoms are Pm at (0.000, 0.000, 0.232), Ho at (0.000, 0.000, 0.000), Ho at (0.000, 0.500, 0.121), Cd at (0.000, 0.000, 0.500) and Cd at (0.000, 0.500, 0.386).



# 2
This record from Alexandria describes ThTl3Br7 after structural relaxation. The functional is PBE.

For the volume, the calculation gives 431.3 Å³/f.u. Its density of states at the Fermi level is 0.00 states/eV/f.u. The formation energy without anion corrections is -13.9 eV/f.u. The calculation puts the energy at -3.645 eV per atom. The value obtained for the total magnetization is 0.000 μB per atom.

The structure belongs to space group Cm (No. 8); the cell edges are 11.578, 10.258 and 8.943 Å and the angles 90.00°, 125.69° and 90.00°. The inequivalent atoms are Th at (0.000, 0.000, 0.000), Tl at (0.059, 0.500, 0.132), Tl at (0.061, 0.217, 0.556), Br at (0.191, 0.179, 0.301), Br at (0.197, 0.500, 0.658), Br at (0.199, 0.000, 0.903), Br at (0.355, 0.500, 0.174) and Br at (0.439, 0.239, 0.826).



# 3
This record from Alexandria describes NaAc2HoS4 after structural relaxation. The functional is PBE.

For the volume, the calculation gives 201.7 Å³/f.u. Its density of states at the Fermi level is 2.89 states/eV/f.u. The formation energy without anion corrections is -15.0 eV/f.u. The calculation puts the energy at -5.700 eV per atom. The value obtained for the total magnetization is 0.000 μB per atom.

The structure belongs to space group P2/m (No. 10); the cell edges are 7.135, 4.150 and 7.224 Å and the angles 90.00°, 109.43° and 90.00°. The inequivalent atoms are Na at (0.000, 0.000, 0.000), Ac at (0.500, 0.000, 0.500), Ac at (0.500, 0.500, 0.000), Ho at (0.000, 0.500, 0.500), S at (0.223, 0.000, 0.736) and S at (0.231, 0.500, 0.253).